(1)
CrCuH2 | the Alexandria database | PBE | relaxed; distance to the lowest polymorph of the same formula = 0.362 eV per atom; density = 5.962 Mg/m³; raw total energy = -4.61 eV/atom
1.0
5.078 0.000 0.000
0.000 5.078 0.000
0.000 0.000 5.078
Cr Cu H
4 4 8
Direct
0.000 0.000 0.000
0.000 0.500 0.500
0.500 0.000 0.500
0.500 0.500 0.000
0.000 0.000 0.500
0.000 0.500 0.000
0.500 0.000 0.000
0.500 0.500 0.500
0.250 0.250 0.250
0.250 0.250 0.750
0.250 0.750 0.250
0.250 0.750 0.750
0.750 0.250 0.250
0.750 0.250 0.750
0.750 0.750 0.250
0.750 0.750 0.750


(2)
CrCu2H | the Alexandria database | PBE | relaxed; distance to the lowest polymorph of the same formula = 0.000 eV per atom; density = 7.123 Mg/m³; raw total energy = -4.62 eV/atom
1.0
5.042 0.000 0.000
0.000 5.042 0.000
0.000 0.000 6.606
Cr Cu H
4 8 4
Direct
0.000 0.000 0.000
0.000 0.500 0.250
0.500 0.000 0.750
0.500 0.500 0.500
0.093 0.250 0.625
0.250 0.593 0.875
0.250 0.907 0.375
0.407 0.250 0.125
0.593 0.750 0.125
0.750 0.093 0.375
0.750 0.407 0.875
0.907 0.750 0.625
0.000 0.000 0.500
0.000 0.500 0.750
0.500 0.000 0.250
0.500 0.500 0.000


(3)
CrCuH | the Alexandria database | PBE | relaxed; distance to the lowest polymorph of the same formula = 0.000 eV per atom; density = 6.910 Mg/m³; raw total energy = -5.34 eV/atom
1.0
5.945 0.000 0.000
0.000 2.864 0.000
0.000 0.000 6.579
Cr Cu H
4 4 4
Direct
0.136 0.250 0.036
0.364 0.750 0.536
0.636 0.250 0.464
0.864 0.750 0.964
0.007 0.250 0.657
0.493 0.750 0.157
0.507 0.250 0.843
0.993 0.750 0.343
0.138 0.750 0.853
0.362 0.250 0.353
0.638 0.750 0.647
0.862 0.250 0.147


(4)
CrCuH3 | the Alexandria database | PBE | relaxed; distance to the lowest polymorph of the same formula = 0.000 eV per atom; density = 5.214 Mg/m³; raw total energy = -4.44 eV/atom
1.0
3.355 0.000 0.000
0.000 3.355 0.000
0.000 0.000 3.355
Cr Cu H
1 1 3
Direct
0.000 0.000 0.000
0.500 0.500 0.500
0.000 0.000 0.500
0.000 0.500 0.000
0.500 0.000 0.000


(5)
CrCu2H2 | the Alexandria database | PBE | relaxed; distance to the lowest polymorph of the same formula = 0.000 eV per atom; density = 6.444 Mg/m³; raw total energy = -4.70 eV/atom
1.0
4.987 0.000 0.000
0.000 4.987 0.000
0.000 0.000 3.753
Cr Cu H
2 4 4
Direct
0.000 0.000 0.000
0.500 0.500 0.000
0.181 0.319 0.500
0.319 0.819 0.500
0.681 0.181 0.500
0.819 0.681 0.500
0.180 0.320 0.000
0.320 0.820 0.000
0.680 0.180 0.000
0.820 0.680 0.000


(6)
Cr3CuH | the Alexandria database | PBE | relaxed; distance to the lowest polymorph of the same formula = 0.000 eV per atom; density = 7.496 Mg/m³; raw total energy = -7.07 eV/atom
1.0
3.656 0.000 0.000
0.000 3.656 0.000
0.000 0.000 3.656
Cr Cu H
3 1 1
Direct
0.000 0.000 0.500
0.000 0.500 0.000
0.500 0.000 0.000
0.500 0.500 0.500
0.000 0.000 0.000


(7)
CrCuH | the Alexandria database | PBE | relaxed; distance to the lowest polymorph of the same formula = 0.100 eV per atom; density = 7.173 Mg/m³; raw total energy = -5.24 eV/atom
1.0
4.590 0.000 0.000
0.000 5.137 0.000
0.000 0.000 4.578
Cr Cu H
4 4 4
Direct
0.002 0.250 0.005
0.498 0.750 0.505
0.502 0.250 0.495
0.998 0.750 0.995
0.000 0.000 0.500
0.000 0.500 0.500
0.500 0.000 0.000
0.500 0.500 0.000
0.184 0.250 0.683
0.316 0.750 0.183
0.684 0.250 0.817
0.816 0.750 0.317


(8)
CrCuH | the Alexandria database | PBE | relaxed; distance to the lowest polymorph of the same formula = 0.049 eV per atom; density = 6.522 Mg/m³; raw total energy = -5.29 eV/atom
1.0
5.362 0.000 0.000
0.000 2.600 0.000
0.000 0.000 8.514
Cr Cu H
4 4 4
Direct
0.107 0.250 0.078
0.393 0.750 0.578
0.607 0.250 0.422
0.893 0.750 0.922
0.109 0.250 0.389
0.391 0.750 0.889
0.609 0.250 0.111
0.891 0.750 0.611
0.098 0.750 0.233
0.402 0.250 0.733
0.598 0.750 0.267
0.902 0.250 0.767


(9)
CrCuH2 | the Alexandria database | PBE | relaxed; distance to the lowest polymorph of the same formula = 0.050 eV per atom; density = 6.433 Mg/m³; raw total energy = -4.92 eV/atom
1.0
2.679 0.000 0.000
-1.340 2.320 0.000
0.000 0.000 14.642
Cr Cu H
3 3 6
Direct
0.000 0.000 0.000
0.333 0.667 0.667
0.667 0.333 0.333
0.000 0.000 0.822
0.333 0.667 0.488
0.667 0.333 0.155
0.000 0.000 0.394
0.000 0.000 0.604
0.333 0.667 0.061
0.333 0.667 0.271
0.667 0.333 0.727
0.667 0.333 0.938


(10)
CrCuH | the Alexandria database | PBE | relaxed; distance to the lowest polymorph of the same formula = 0.206 eV per atom; density = 6.166 Mg/m³; raw total energy = -5.14 eV/atom
1.0
2.663 0.000 0.000
0.016 3.686 0.000
0.507 1.715 6.396
Cr Cu H
2 2 2
Direct
0.250 0.233 0.020
0.750 0.767 0.980
0.204 0.591 0.322
0.796 0.409 0.678
0.006 0.149 0.495
0.994 0.851 0.505


(11)
CrCuH2 | the Alexandria database | PBE | relaxed; distance to the lowest polymorph of the same formula = 0.000 eV per atom; density = 6.247 Mg/m³; raw total energy = -4.97 eV/atom
1.0
2.737 0.000 0.000
-1.369 2.370 0.000
0.000 0.000 14.448
Cr Cu H
3 3 6
Direct
0.000 0.000 0.000
0.333 0.667 0.667
0.667 0.333 0.333
0.000 0.000 0.500
0.333 0.667 0.167
0.667 0.333 0.833
0.000 0.000 0.385
0.000 0.000 0.615
0.333 0.667 0.052
0.333 0.667 0.282
0.667 0.333 0.718
0.667 0.333 0.948


(12)
Hf2CrCuH | the Alexandria database | PBE | relaxed; density = 11.431 Mg/m³; raw total energy = -7.47 eV/atom
1.0
4.501 0.000 0.000
0.000 4.501 0.000
0.000 0.000 3.395
Hf Cr Cu H
2 1 1 1
Direct
0.000 0.500 0.000
0.500 0.000 0.000
0.000 0.000 0.500
0.500 0.500 0.500
0.000 0.000 0.000


(13)
CrCu2HIr | the Alexandria database | PBE | relaxed; density = 11.375 Mg/m³; raw total energy = -5.81 eV/atom
1.0
3.733 0.000 0.000
0.000 3.733 0.000
0.000 0.000 3.900
Cr Cu H Ir
1 2 1 1
Direct
0.000 0.000 0.000
0.000 0.500 0.500
0.500 0.000 0.500
0.000 0.000 0.500
0.500 0.500 0.000


(14)
LiCrCu2H6 | the Alexandria database | PBE | relaxed; density = 4.105 Mg/m³; raw total energy = -3.97 eV/atom
1.0
2.314 1.336 4.190
-2.314 1.336 4.190
0.000 -2.672 4.190
Li Cr Cu H
1 1 2 6
Direct
0.000 0.000 0.000
0.551 0.551 0.551
0.221 0.221 0.221
0.767 0.767 0.767
0.157 0.819 0.458
0.420 0.554 0.954
0.458 0.157 0.819
0.554 0.954 0.420
0.819 0.458 0.157
0.954 0.420 0.554


(15)
Mn2CrCuH | the Alexandria database | PBE | relaxed; distance to the lowest polymorph of the same formula = 1.435 eV per atom; density = 4.297 Mg/m³; raw total energy = -5.56 eV/atom
1.0
4.348 0.000 0.000
0.000 4.348 0.000
0.000 0.000 4.629
Mn Cr Cu H
2 1 1 1
Direct
0.000 0.500 0.000
0.500 0.000 0.000
0.000 0.000 0.000
0.000 0.000 0.500
0.500 0.500 0.500


(16)
Mn2CrCuH | the Alexandria database | PBE | relaxed; distance to the lowest polymorph of the same formula = 0.000 eV per atom; density = 7.419 Mg/m³; raw total energy = -6.99 eV/atom
1.0
3.698 0.000 0.000
0.000 3.698 0.000
0.000 0.000 3.707
Mn Cr Cu H
2 1 1 1
Direct
0.000 0.500 0.000
0.500 0.000 0.000
0.000 0.000 0.500
0.500 0.500 0.500
0.000 0.000 0.000


(17)
Na2CrCuH6 | the Alexandria database | PBE | relaxed; density = 2.983 Mg/m³; raw total energy = -3.69 eV/atom
1.0
-2.542 2.542 3.608
2.542 -2.542 3.608
2.542 2.542 -3.608
Na Cr Cu H
2 1 1 6
Direct
0.250 0.750 0.500
0.750 0.250 0.500
0.000 0.000 0.000
0.500 0.500 0.000
0.246 0.246 0.000
0.247 0.247 0.493
0.247 0.753 0.000
0.753 0.247 0.000
0.753 0.753 0.507
0.754 0.754 0.000


(18)
CrCuNi2H | the Alexandria database | PBE | relaxed; distance to the lowest polymorph of the same formula = 0.000 eV per atom; density = 7.834 Mg/m³; raw total energy = -5.67 eV/atom
1.0
3.643 0.000 0.000
0.000 3.643 0.000
0.000 0.000 3.736
Cr Cu Ni H
1 1 2 1
Direct
0.000 0.000 0.000
0.500 0.500 0.000
0.000 0.500 0.500
0.500 0.000 0.500
0.000 0.000 0.500


(19)
CrCuNi2H | the Alexandria database | PBE | relaxed; distance to the lowest polymorph of the same formula = 0.062 eV per atom; density = 7.801 Mg/m³; raw total energy = -5.61 eV/atom
1.0
3.677 0.000 0.000
0.000 3.677 0.000
0.000 0.000 3.682
Cr Cu Ni H
1 1 2 1
Direct
0.000 0.000 0.000
0.500 0.500 0.000
0.000 0.500 0.500
0.500 0.000 0.500
0.500 0.500 0.500


(20)
CrCu2HPt | the Alexandria database | PBE | relaxed; density = 11.045 Mg/m³; raw total energy = -5.42 eV/atom
1.0
3.841 0.000 0.000
0.000 3.841 0.000
0.000 0.000 3.823
Cr Cu H Pt
1 2 1 1
Direct
0.000 0.000 0.000
0.000 0.500 0.500
0.500 0.000 0.500
0.000 0.000 0.500
0.500 0.500 0.000